Record 1
# YTeN2F, optimized geometry, DFT PBE-GGA
data_YTeN2F
_chemical_formula_sum 'Y1 Te1 N2 F1'
_symmetry_space_group_name_H-M 'P 4/m m m'
_symmetry_Int_Tables_number 123
_symmetry_space_group_name_Hall '-P 4 2'
_cell_length_a 4.5806
_cell_length_b 4.5806
_cell_length_c 4.1757
_cell_angle_alpha 90.00
_cell_angle_beta 90.00
_cell_angle_gamma 90.00
loop_
_atom_site_label
_atom_site_type_symbol
_atom_site_fract_x
_atom_site_fract_y
_atom_site_fract_z
Y1 Y 0.0000 0.0000 0.0000
Te1 Te 0.5000 0.5000 0.5000
N1 N 0.0000 0.5000 0.0000
F1 F 0.0000 0.0000 0.5000
# ΔE to the lowest computed polymorph: 16 meV per atom
# Theoretical density: 5.0 Mg/m³
# Size of the total moment: 0.00 μB per cell

***

Record 2
# CuTeCl3, optimized geometry, DFT PBE-GGA
data_CuTeCl3
_chemical_formula_sum 'Cu1 Te1 Cl3'
_symmetry_space_group_name_H-M 'P m -3 m'
_symmetry_Int_Tables_number 221
_symmetry_space_group_name_Hall '-P 4 2 3'
_cell_length_a 4.7695
_cell_length_b 4.7695
_cell_length_c 4.7695
_cell_angle_alpha 90.00
_cell_angle_beta 90.00
_cell_angle_gamma 90.00
loop_
_atom_site_label
_atom_site_type_symbol
_atom_site_fract_x
_atom_site_fract_y
_atom_site_fract_z
Cu1 Cu 0.0000 0.0000 0.0000
Te1 Te 0.5000 0.5000 0.5000
Cl1 Cl 0.0000 0.0000 0.5000
# ΔE to the lowest computed polymorph: 419 meV per atom
# Theoretical density: 4.6 Mg/m³
# Size of the total moment: 0.00 μB per cell

***

Record 3
# Rb2In12AgPt3, optimized geometry, DFT PBE-GGA
data_Rb2In12AgPt3
_chemical_formula_sum 'Rb6 In36 Ag3 Pt9'
_symmetry_space_group_name_H-M 'R -3 m'
_symmetry_Int_Tables_number 166
_symmetry_space_group_name_Hall '-R 3 2"'
_cell_length_a 10.3268
_cell_length_b 10.3268
_cell_length_c 19.3085
_cell_angle_alpha 90.00
_cell_angle_beta 90.00
_cell_angle_gamma 120.00
loop_
_atom_site_label
_atom_site_type_symbol
_atom_site_fract_x
_atom_site_fract_y
_atom_site_fract_z
Rb1 Rb 0.0000 0.0000 0.0977
In1 In 0.0045 0.5023 0.1396
In2 In 0.1082 0.5541 0.3084
Ag1 Ag 0.0000 0.0000 0.5000
Pt1 Pt 0.0000 0.5000 0.0000
# DFT formation energy: -102 meV/atom
# Theoretical density: 6.3 Mg/m³
# Size of the total moment: 0.00 μB per cell

***

Record 4
# La2SmAg6, optimized geometry, DFT PBE-GGA
data_La2SmAg6
_chemical_formula_sum 'La2 Sm1 Ag6'
_symmetry_space_group_name_H-M 'P 6/m m m'
_symmetry_Int_Tables_number 191
_symmetry_space_group_name_Hall '-P 6 2'
_cell_length_a 8.3590
_cell_length_b 8.3590
_cell_length_c 3.6441
_cell_angle_alpha 90.00
_cell_angle_beta 90.00
_cell_angle_gamma 120.00
loop_
_atom_site_label
_atom_site_type_symbol
_atom_site_fract_x
_atom_site_fract_y
_atom_site_fract_z
La1 La 0.3333 0.6667 0.0000
Sm1 Sm 0.0000 0.0000 0.0000
Ag1 Ag 0.0000 0.3315 0.5000
# DFT formation energy: -271 meV/atom
# Theoretical density: 8.1 Mg/m³
# Size of the total moment: 0.00 μB per cell

***

Record 5
# K2NdCl6, optimized geometry, DFT PBE-GGA
data_K2NdCl6
_chemical_formula_sum 'K4 Nd2 Cl12'
_symmetry_space_group_name_H-M 'A m m 2'
_symmetry_Int_Tables_number 38
_symmetry_space_group_name_Hall 'A 2 -2'
_cell_length_a 4.4026
_cell_length_b 14.1127
_cell_length_c 8.1214
_cell_angle_alpha 90.00
_cell_angle_beta 90.00
_cell_angle_gamma 90.00
loop_
_atom_site_label
_atom_site_type_symbol
_atom_site_fract_x
_atom_site_fract_y
_atom_site_fract_z
K1 K 0.0000 0.1671 0.0000
Nd1 Nd 0.5000 0.0000 0.5017
Cl1 Cl 0.0000 0.0000 0.7403
Cl2 Cl 0.0000 0.1189 0.3814
Cl3 Cl 0.5000 0.0000 0.1461
Cl4 Cl 0.5000 0.1779 0.6779
# E: -3.821 eV per atom
# Theoretical density: 2.9 Mg/m³
# Size of the total moment: 2.25 μB per cell

***

Record 6
# BeSbAs2, optimized geometry, DFT PBE-GGA
data_BeSbAs2
_chemical_formula_sum 'Be4 Sb4 As8'
_symmetry_space_group_name_H-M 'F m m m'
_symmetry_Int_Tables_number 69
_symmetry_space_group_name_Hall '-F 2 2'
_cell_length_a 5.2329
_cell_length_b 5.6595
_cell_length_c 10.4712
_cell_angle_alpha 90.00
_cell_angle_beta 90.00
_cell_angle_gamma 90.00
loop_
_atom_site_label
_atom_site_type_symbol
_atom_site_fract_x
_atom_site_fract_y
_atom_site_fract_z
Be1 Be 0.0000 0.0000 0.0000
Sb1 Sb 0.0000 0.0000 0.5000
As1 As 0.0000 0.2500 0.2500
# ΔE to the lowest computed polymorph: 323 meV per atom
# Theoretical density: 6.0 Mg/m³
# Size of the total moment: 0.00 μB per cell